No. 1
The following is a PBE calculation of a relaxed structure of NdEuHg4, from the Alexandria database.

```
data_NdEuHg4
_chemical_formula_sum 'Nd4 Eu4 Hg16'
_cell_length_a 8.593
_cell_length_b 8.593
_cell_length_c 8.593
_cell_angle_alpha 90.00
_cell_angle_beta 90.00
_cell_angle_gamma 90.00
_symmetry_space_group_name_H-M 'F -4 3 m'
_symmetry_Int_Tables_number 216
_symmetry_space_group_name_Hall 'F -4 2 3'
loop_
_atom_site_label
_atom_site_type_symbol
_atom_site_fract_x
_atom_site_fract_y
_atom_site_fract_z
_atom_site_occupancy
Nd1 Nd 0.000 0.000 0.000 1
Eu1 Eu 0.250 0.250 0.750 1
Hg1 Hg 0.125 0.125 0.375 1
```

Summary:
The formation energy from the elements is -0.295 eV per atom.

No. 2
The following is a PBE calculation of a relaxed structure of HoErTm2S4, from the Alexandria database.

```
data_HoErTm2S4
_chemical_formula_sum 'Ho1 Er1 Tm2 S4'
_cell_length_a 6.700
_cell_length_b 3.825
_cell_length_c 6.701
_cell_angle_alpha 90.00
_cell_angle_beta 109.09
_cell_angle_gamma 90.00
_symmetry_space_group_name_H-M 'P 1 2/m 1'
_symmetry_Int_Tables_number 10
_symmetry_space_group_name_Hall '-P 2y'
loop_
_atom_site_label
_atom_site_type_symbol
_atom_site_fract_x
_atom_site_fract_y
_atom_site_fract_z
_atom_site_occupancy
Ho1 Ho 0.000 0.000 0.000 1
Er1 Er 0.000 0.500 0.500 1
Tm1 Tm 0.500 0.000 0.500 1
Tm2 Tm 0.500 0.500 0.000 1
S1 S 0.253 0.000 0.750 1
S2 S 0.254 0.500 0.252 1
```

Summary:
Its uncorrected formation energy is -1.944 eV/atom.

No. 3
The following is a PBE calculation of a relaxed structure of UCdTe, from the Alexandria database.

```
data_UCdTe
_chemical_formula_sum 'U2 Cd2 Te2'
_cell_length_a 3.956
_cell_length_b 3.727
_cell_length_c 11.167
_cell_angle_alpha 90.00
_cell_angle_beta 97.69
_cell_angle_gamma 90.00
_symmetry_space_group_name_H-M 'P 1 21/m 1'
_symmetry_Int_Tables_number 11
_symmetry_space_group_name_Hall '-P 2yb'
loop_
_atom_site_label
_atom_site_type_symbol
_atom_site_fract_x
_atom_site_fract_y
_atom_site_fract_z
_atom_site_occupancy
U1 U 0.155 0.250 0.060 1
Cd1 Cd 0.231 0.750 0.445 1
Te1 Te 0.313 0.250 0.793 1
```

Summary:
Its uncorrected formation energy is -0.303 eV/atom.

No. 4
The following is a PBE calculation of a relaxed structure of Tb2PmDy2Y4, from the Alexandria database.

```
data_Tb2PmDy2Y4
_chemical_formula_sum 'Tb4 Pm2 Dy4 Y8'
_cell_length_a 18.706
_cell_length_b 3.603
_cell_length_c 9.575
_cell_angle_alpha 90.00
_cell_angle_beta 115.73
_cell_angle_gamma 90.00
_symmetry_space_group_name_H-M 'C 1 2/m 1'
_symmetry_Int_Tables_number 12
_symmetry_space_group_name_Hall '-C 2y'
loop_
_atom_site_label
_atom_site_type_symbol
_atom_site_fract_x
_atom_site_fract_y
_atom_site_fract_z
_atom_site_occupancy
Tb1 Tb 0.148 0.000 0.167 1
Pm1 Pm 0.000 0.000 0.500 1
Dy1 Dy 0.168 0.500 0.500 1
Y1 Y 0.019 0.500 0.835 1
Y2 Y 0.186 0.000 0.834 1
```

Summary:
The formation energy from the elements is -0.002 eV per atom.

No. 5
The following is a PBE calculation of a relaxed structure of DyCo2Si3, from the Alexandria database.

```
data_DyCo2Si3
_chemical_formula_sum 'Dy6 Co12 Si18'
_cell_length_a 15.270
_cell_length_b 3.777
_cell_length_c 9.168
_cell_angle_alpha 90.00
_cell_angle_beta 103.99
_cell_angle_gamma 90.00
_symmetry_space_group_name_H-M 'C 1 2/m 1'
_symmetry_Int_Tables_number 12
_symmetry_space_group_name_Hall '-C 2y'
loop_
_atom_site_label
_atom_site_type_symbol
_atom_site_fract_x
_atom_site_fract_y
_atom_site_fract_z
_atom_site_occupancy
Dy1 Dy 0.000 0.000 0.000 1
Dy2 Dy 0.150 0.000 0.699 1
Co1 Co 0.004 0.500 0.761 1
Co2 Co 0.145 0.500 0.439 1
Co3 Co 0.209 0.000 0.086 1
Si1 Si 0.000 0.500 0.500 1
Si2 Si 0.052 0.000 0.359 1
Si3 Si 0.141 0.500 0.190 1
Si4 Si 0.143 0.500 0.931 1
Si5 Si 0.224 0.000 0.377 1
```

Summary:
Its uncorrected formation energy is -0.690 eV/atom.

No. 6
The following is a PBE calculation of a relaxed structure of Ba2H6RhPb, from the Alexandria database.

```
data_Ba2H6RhPb
_chemical_formula_sum 'Ba2 H6 Rh1 Pb1'
_cell_length_a 5.4289
_cell_length_b 5.4289
_cell_length_c 6.9485
_cell_angle_alpha 90.00
_cell_angle_beta 90.00
_cell_angle_gamma 120.00
_symmetry_space_group_name_H-M 'P -3 m 1'
_symmetry_Int_Tables_number 164
_symmetry_space_group_name_Hall '-P 3 2"'
loop_
_atom_site_label
_atom_site_type_symbol
_atom_site_fract_x
_atom_site_fract_y
_atom_site_fract_z
_atom_site_occupancy
Ba1 Ba 0.3333 0.6667 0.2163 1
H1 H 0.1485 0.2969 0.8646 1
Rh1 Rh 0.0000 0.0000 0.0000 1
Pb1 Pb 0.0000 0.0000 0.5000 1
```

| no. | uncorrected energy (eV/atom) |
| --- | --- |
| 1 | -3.003 |
| 2 | -6.269 |
| 3 | -5.418 |
| 4 | -5.454 |
| 5 | -6.537 |
| 6 | -3.902 |